No. 1
Y12InPd6 | PBE-GGA | optimized geometry Values from VASP.

Geometry as Quantum ESPRESSO input:
```
&SYSTEM
  ibrav = 0, nat = 19, ntyp = 3
/
ATOMIC_SPECIES
Y 88.91 Y.upf
In 114.82 In.upf
Pd 106.42 Pd.upf
CELL_PARAMETERS angstrom
-4.998 4.998 4.998
4.998 -4.998 4.998
4.998 4.998 -4.998
ATOMIC_POSITIONS crystal
Y 0.113 0.297 0.817
Y 0.183 0.480 0.297
Y 0.183 0.887 0.703
Y 0.297 0.183 0.480
Y 0.297 0.817 0.113
Y 0.480 0.297 0.183
Y 0.520 0.703 0.817
Y 0.703 0.183 0.887
Y 0.703 0.817 0.520
Y 0.817 0.113 0.297
Y 0.817 0.520 0.703
Y 0.887 0.703 0.183
In 0.000 0.000 0.000
Pd 0.136 0.500 0.636
Pd 0.364 0.864 0.500
Pd 0.500 0.364 0.864
Pd 0.500 0.636 0.136
Pd 0.636 0.136 0.500
Pd 0.864 0.500 0.364
```

Output
The density of states at the Fermi level is 18.9 states/eV/cell. The calculated volume is 499.37 Å³/cell. The value obtained for the formation energy is -0.626 eV/atom. The size of the total moment comes out at 0.00 μB per formula unit. As for the total energy: -6.492 eV per atom.

=====

No. 2
YIn3Pd | PBE-GGA | optimized geometry Values from VASP.

Geometry as Quantum ESPRESSO input:
```
&SYSTEM
  ibrav = 0, nat = 5, ntyp = 3
/
ATOMIC_SPECIES
Y 88.91 Y.upf
In 114.82 In.upf
Pd 106.42 Pd.upf
CELL_PARAMETERS angstrom
5.760 0.000 0.000
0.000 5.760 0.000
0.000 0.000 5.760
ATOMIC_POSITIONS crystal
Y 0.000 0.000 0.000
In 0.000 0.000 0.500
In 0.000 0.500 0.000
In 0.500 0.000 0.000
Pd 0.500 0.500 0.500
```

Output
The density of states at the Fermi level is 6.8 states/eV/cell. The calculated volume is 191.10 Å³/cell. The value obtained for the formation energy is 0.943 eV/atom. The size of the total moment comes out at 0.30 μB per formula unit. As for the total energy: -3.031 eV per atom. The excess energy over the best structure of this formula in the dataset comes out at 1.438 eV per atom.

=====

No. 3
YIn9Pd2 | PBE-GGA | optimized geometry Values from VASP.

Geometry as Quantum ESPRESSO input:
```
&SYSTEM
  ibrav = 0, nat = 24, ntyp = 3
/
ATOMIC_SPECIES
Y 88.91 Y.upf
In 114.82 In.upf
Pd 106.42 Pd.upf
CELL_PARAMETERS angstrom
-6.397 6.397 3.527
6.397 -6.397 3.527
6.397 6.397 -3.527
ATOMIC_POSITIONS crystal
Y 0.375 0.625 0.750
Y 0.625 0.375 0.250
In 0.090 0.542 0.306
In 0.090 0.784 0.548
In 0.125 0.875 0.250
In 0.216 0.264 0.306
In 0.216 0.910 0.952
In 0.264 0.216 0.806
In 0.264 0.458 0.048
In 0.458 0.264 0.548
In 0.458 0.910 0.194
In 0.542 0.090 0.806
In 0.542 0.736 0.452
In 0.736 0.542 0.952
In 0.736 0.784 0.194
In 0.784 0.090 0.048
In 0.784 0.736 0.694
In 0.875 0.125 0.750
In 0.910 0.216 0.452
In 0.910 0.458 0.694
Pd 0.000 0.000 0.000
Pd 0.000 0.000 0.500
Pd 0.000 0.500 0.000
Pd 0.500 0.000 0.500
```

Output
The density of states at the Fermi level is 8.4 states/eV/cell. The calculated volume is 577.48 Å³/cell. The value obtained for the formation energy is -0.172 eV/atom. The size of the total moment comes out at 0.00 μB per formula unit. As for the total energy: -3.629 eV per atom.

=====

No. 4
Y4InPd2 | PBE-GGA | optimized geometry Values from VASP.

Geometry as Quantum ESPRESSO input:
```
&SYSTEM
  ibrav = 0, nat = 7, ntyp = 3
/
ATOMIC_SPECIES
Y 88.91 Y.upf
In 114.82 In.upf
Pd 106.42 Pd.upf
CELL_PARAMETERS angstrom
2.421 1.398 9.439
-2.421 1.398 9.439
0.000 -2.796 9.439
ATOMIC_POSITIONS crystal
Y 0.116 0.116 0.116
Y 0.296 0.296 0.296
Y 0.704 0.704 0.704
Y 0.884 0.884 0.884
In 0.500 0.500 0.500
Pd 0.400 0.400 0.400
Pd 0.600 0.600 0.600
```

Output
The density of states at the Fermi level is 5.4 states/eV/cell. The calculated volume is 191.66 Å³/cell. The value obtained for the formation energy is -0.500 eV/atom. The size of the total moment comes out at 0.00 μB per formula unit. As for the total energy: -6.069 eV per atom.